A relaxed structure of Dy3Mg. Source: Alexandria, functional PBE.

Values from the calculation:
DOS at the Fermi energy: 4.7 states/eV/f.u.
ΔE_f: -16.6 meV/atom
raw total energy: -15.47 eV per formula unit

a = 3.8157 Å, b = 5.4466 Å, c = 6.5854 Å
α = 114.43°, β = 106.84°, γ = 90.00°
Closest atoms and distances in Å follow each position.
Fractional positions:
Dy: 0.2718 0.6883 0.5435  2 Mg 3.22, 4 Dy 3.36
Mg: 0.0000 0.9169 0.0000  8 Dy 3.22-3.33
Dy: 0.5000 0.4168 0.0000  4 Mg 3.32-3.33, 4 Dy 3.63
Dy: 0.7282 0.1447 0.4565  2 Mg 3.22, 4 Dy 3.36

A relaxed structure of Dy5Mg24. Source: Alexandria, functional PBE.

Values from the calculation:
DOS at the Fermi energy: 20.3 states/eV/f.u.
ΔE_f: -46.3 meV/atom
raw total energy: -62.62 eV per formula unit

a = 9.7569 Å, b = 9.7569 Å, c = 9.7569 Å
α = 109.47°, β = 109.47°, γ = 109.47°
Closest atoms and distances in Å follow each position.
Fractional positions:
Mg: 0.0000 0.8091 0.6297  6 Mg 2.86-3.19
Mg: 0.6297 0.8091 0.0000  6 Mg 2.86-3.19
Mg: 0.6118 0.0000 0.3240  3 Mg 2.96-3.19, 1 Dy 3.23
Mg: 0.3703 0.1794 0.3703  6 Mg 2.86-3.19
Mg: 0.1909 0.1909 0.8206  6 Mg 2.86-3.19
Dy: 0.6232 0.6232 0.6232  12 Mg 3.23-3.55
Mg: 0.3882 0.3882 0.7122  3 Mg 2.96-3.19, 1 Dy 3.23
Mg: 0.2878 0.6760 0.6760  3 Mg 2.96-3.19, 1 Dy 3.23
Dy: 0.3768 0.0000 0.0000  12 Mg 3.23-3.55
Mg: 0.3240 0.6118 0.0000  3 Mg 2.96-3.19, 1 Dy 3.23
Mg: 0.7122 0.3882 0.3882  3 Mg 2.96-3.19, 1 Dy 3.23
Mg: 0.0000 0.6118 0.3240  3 Mg 2.96-3.19, 1 Dy 3.23
Mg: 0.3882 0.7122 0.3882  3 Mg 2.96-3.19, 1 Dy 3.23
Mg: 0.0000 0.3240 0.6118  3 Mg 2.96-3.19, 1 Dy 3.23
Mg: 0.3240 0.0000 0.6118  3 Mg 2.96-3.19, 1 Dy 3.23
Mg: 0.3703 0.3703 0.1794  6 Mg 2.86-3.19
Dy: 0.0000 0.3768 0.0000  12 Mg 3.23-3.55
Mg: 0.6760 0.2878 0.6760  3 Mg 2.96-3.19, 1 Dy 3.23
Mg: 0.6760 0.6760 0.2878  3 Mg 2.96-3.19, 1 Dy 3.23
Dy: 0.0000 0.0000 0.3768  12 Mg 3.23-3.55
Mg: 0.8091 0.6297 0.0000  6 Mg 2.86-3.19
Mg: 0.8206 0.1909 0.1909  6 Mg 2.86-3.19
Mg: 0.8091 0.0000 0.6297  6 Mg 2.86-3.19
Mg: 0.6297 0.0000 0.8091  6 Mg 2.86-3.19
Mg: 0.1909 0.8206 0.1909  6 Mg 2.86-3.19
Mg: 0.0000 0.6297 0.8091  6 Mg 2.86-3.19
Mg: 0.6118 0.3240 0.0000  3 Mg 2.96-3.19, 1 Dy 3.23
Mg: 0.1794 0.3703 0.3703  6 Mg 2.86-3.19
Dy: 0.0000 0.0000 0.0000  12 Mg 3.47, 4 Dy 3.68

A relaxed structure of Dy3Mg11. Source: Alexandria, functional PBE.

Values from the calculation:
DOS at the Fermi energy: 10.8 states/eV/f.u.
ΔE_f: -9.8 meV/atom
raw total energy: -31.48 eV per formula unit

a = 4.9848 Å, b = 8.8322 Å, c = 8.8322 Å
α = 79.46°, β = 73.61°, γ = 73.61°
Closest atoms and distances in Å follow each position.
Fractional positions:
Dy: 0.2806 0.7194 0.7194  8 Mg 3.28-3.52, 1 Dy 3.55
Mg: 0.5000 0.6544 0.3456  8 Mg 2.98-3.20, 2 Dy 3.28
Mg: 0.3670 0.2604 0.0055  5 Mg 2.88-3.03
Mg: 0.0000 0.5000 0.5000  8 Mg 3.04-3.15
Mg: 0.8552 0.4175 0.8721  6 Mg 2.99-3.20
Mg: 0.6330 0.9945 0.7396  5 Mg 2.88-3.03
Mg: 0.6330 0.7396 0.9945  5 Mg 2.88-3.03
Mg: 0.3670 0.0055 0.2604  5 Mg 2.88-3.03
Dy: 0.7194 0.2806 0.2806  8 Mg 3.28-3.52, 1 Dy 3.55
Mg: 0.1448 0.5825 0.1279  6 Mg 2.99-3.20
Mg: 0.8552 0.8721 0.4175  6 Mg 2.99-3.20
Dy: 0.0000 0.0000 0.0000  12 Mg 3.33-3.58, 2 Dy 3.55
Mg: 0.5000 0.3456 0.6544  8 Mg 2.98-3.20, 2 Dy 3.28
Mg: 0.1448 0.1279 0.5825  6 Mg 2.99-3.20

A relaxed structure of Dy2Mg17. Source: Alexandria, functional PBE.

Values from the calculation:
DOS at the Fermi energy: 8.4 states/eV/f.u.
ΔE_f: -12.6 meV/atom
raw total energy: -36.55 eV per formula unit

a = 7.7783 Å, b = 7.7783 Å, c = 7.7783 Å
α = 82.01°, β = 82.01°, γ = 82.01°
Closest atoms and distances in Å follow each position.
Fractional positions:
Dy: 0.3280 0.3280 0.3280  16 Mg 3.48-3.84
Mg: 0.1600 0.6465 0.6465  8 Mg 2.91-3.20
Mg: 0.3043 0.0000 0.6957  8 Mg 2.99-3.20
Mg: 0.5000 0.0000 0.0000  10 Mg 2.99-3.12
Mg: 0.0000 0.6957 0.3043  8 Mg 2.99-3.20
Mg: 0.3043 0.6957 0.0000  8 Mg 2.99-3.20
Mg: 0.3535 0.8400 0.3535  8 Mg 2.91-3.20
Mg: 0.8400 0.3535 0.3535  8 Mg 2.91-3.20
Mg: 0.6465 0.1600 0.6465  8 Mg 2.91-3.20
Mg: 0.3535 0.3535 0.8400  8 Mg 2.91-3.20
Mg: 0.0000 0.5000 0.0000  10 Mg 2.99-3.12
Mg: 0.0000 0.0000 0.5000  10 Mg 2.99-3.12
Mg: 0.0000 0.3043 0.6957  8 Mg 2.99-3.20
Mg: 0.0993 0.0993 0.0993  7 Mg 3.02-3.28
Mg: 0.6957 0.0000 0.3043  8 Mg 2.99-3.20
Dy: 0.6720 0.6720 0.6720  16 Mg 3.48-3.84
Mg: 0.6465 0.6465 0.1600  8 Mg 2.91-3.20
Mg: 0.6957 0.3043 0.0000  8 Mg 2.99-3.20
Mg: 0.9007 0.9007 0.9007  7 Mg 3.02-3.28

A relaxed structure of Dy7Mg3. Source: Alexandria, functional PBE.

Values from the calculation:
DOS at the Fermi energy: 17.8 states/eV/f.u.
ΔE_f: 130.2 meV/atom
raw total energy: -35.70 eV per formula unit

a = 6.8396 Å, b = 10.1050 Å, c = 10.1050 Å
α = 120.00°, β = 90.00°, γ = 90.00°
Closest atoms and distances in Å follow each position.
Fractional positions:
Dy: 0.4185 0.1234 0.2468  3 Mg 3.28-3.45, 2 Dy 3.63
Mg: 0.3671 0.7860 0.5720  8 Dy 3.10-3.45
Mg: 0.8671 0.5720 0.7860  8 Dy 3.10-3.45
Dy: 0.9185 0.8766 0.7532  3 Mg 3.28-3.45, 2 Dy 3.63
Dy: 0.6764 0.5292 0.0584  4 Mg 3.10-3.26, 1 Dy 3.37
Mg: 0.3671 0.7860 0.2140  8 Dy 3.10-3.45
Dy: 0.4185 0.1234 0.8766  3 Mg 3.28-3.45, 2 Dy 3.63
Dy: 0.4185 0.7532 0.8766  3 Mg 3.28-3.45, 2 Dy 3.63
Dy: 0.1764 0.4708 0.5292  4 Mg 3.10-3.26, 1 Dy 3.37
Dy: 0.1764 0.0584 0.5292  4 Mg 3.10-3.26, 1 Dy 3.37
Dy: 0.1764 0.4708 0.9416  4 Mg 3.10-3.26, 1 Dy 3.37
Dy: 0.6764 0.9416 0.4708  4 Mg 3.10-3.26, 1 Dy 3.37
Dy: 0.9185 0.8766 0.1234  3 Mg 3.28-3.45, 2 Dy 3.63
Dy: 0.0221 0.6667 0.3333  3 Mg 3.15, 3 Dy 3.37
Mg: 0.8671 0.2140 0.7860  8 Dy 3.10-3.45
Dy: 0.6764 0.5292 0.4708  4 Mg 3.10-3.26, 1 Dy 3.37
Dy: 0.5221 0.3333 0.6667  3 Mg 3.15, 3 Dy 3.37
Dy: 0.9185 0.2468 0.1234  3 Mg 3.28-3.45, 2 Dy 3.63
Mg: 0.8671 0.2140 0.4280  8 Dy 3.10-3.45
Mg: 0.3671 0.4280 0.2140  8 Dy 3.10-3.45

A relaxed structure of DyMg3. Source: Alexandria, functional PBE.

Values from the calculation:
DOS at the Fermi energy: 3.1 states/eV/f.u.
ΔE_f: 8.5 meV/atom
raw total energy: -9.35 eV per formula unit

a = 3.8317 Å, b = 5.2642 Å, c = 6.0132 Å
α = 115.96°, β = 108.58°, γ = 90.00°
Closest atoms and distances in Å follow each position.
Fractional positions:
Mg: 0.7650 0.1817 0.5300  6 Mg 3.05-3.27, 2 Dy 3.29
Mg: 0.2350 0.6517 0.4700  6 Mg 3.05-3.27, 2 Dy 3.29
Mg: 0.5000 0.4166 0.0000  4 Mg 3.05, 4 Dy 3.26
Dy: 0.0000 0.9167 0.0000  12 Mg 3.26-3.55

A relaxed structure of Dy2Mg. Source: Alexandria, functional PBE.

Values from the calculation:
DOS at the Fermi energy: 4.7 states/eV/f.u.
ΔE_f: 288.4 meV/atom
offset from the most stable computed form: 351.8 meV/atom
raw total energy: -9.93 eV per formula unit

a = 6.3946 Å, b = 6.3946 Å, c = 6.3946 Å
α = 60.00°, β = 60.00°, γ = 60.00°
Closest atoms and distances in Å follow each position.
Fractional positions:
Mg: 0.2500 0.2500 0.2500  12 Dy 3.75, 4 Mg 3.92
Dy: 0.1250 0.6250 0.6250  6 Dy 3.20
Mg: 0.0000 0.0000 0.0000  12 Dy 3.75, 4 Mg 3.92
Dy: 0.6250 0.6250 0.1250  6 Dy 3.20
Dy: 0.6250 0.1250 0.6250  6 Dy 3.20
Dy: 0.6250 0.6250 0.6250  6 Dy 3.20

A relaxed structure of DyMg4. Source: Alexandria, functional PBE.

Values from the calculation:
DOS at the Fermi energy: 3.3 states/eV/f.u.
ΔE_f: 91.6 meV/atom
offset from the most stable computed form: 139.5 meV/atom
raw total energy: -10.52 eV per formula unit

a = 8.7494 Å, b = 8.7494 Å, c = 8.7494 Å
α = 109.47°, β = 109.47°, γ = 109.47°
Closest atoms and distances in Å follow each position.
Fractional positions:
Mg: 0.0000 0.0000 0.2114  6 Mg 2.88-3.02, 1 Dy 3.18
Dy: 0.4245 0.4245 0.4245  7 Mg 3.18-3.56
Mg: 0.7886 0.7886 0.7886  6 Mg 2.88-3.02, 1 Dy 3.18
Mg: 0.5000 0.7500 0.2500  4 Mg 2.95
Mg: 0.6514 0.6514 0.0000  7 Mg 2.88-3.06
Mg: 0.6514 0.0000 0.6514  7 Mg 2.88-3.06
Dy: 0.0000 0.5755 0.0000  7 Mg 3.18-3.56
Mg: 0.3486 0.0000 0.3486  7 Mg 2.88-3.06
Mg: 0.7500 0.2500 0.5000  4 Mg 2.95
Mg: 0.2114 0.0000 0.0000  6 Mg 2.88-3.02, 1 Dy 3.18
Mg: 0.5000 0.2500 0.7500  4 Mg 2.95
Mg: 0.3486 0.3486 0.0000  7 Mg 2.88-3.06
Mg: 0.2500 0.7500 0.5000  4 Mg 2.95
Mg: 0.7500 0.5000 0.2500  4 Mg 2.95
Mg: 0.0000 0.3486 0.3486  7 Mg 2.88-3.06
Mg: 0.0000 0.2114 0.0000  6 Mg 2.88-3.02, 1 Dy 3.18
Mg: 0.2500 0.5000 0.7500  4 Mg 2.95
Dy: 0.0000 0.0000 0.5755  7 Mg 3.18-3.56
Dy: 0.5755 0.0000 0.0000  7 Mg 3.18-3.56
Mg: 0.0000 0.6514 0.6514  7 Mg 2.88-3.06

A relaxed structure of DyMg7. Source: Alexandria, functional PBE.

Values from the calculation:
DOS at the Fermi energy: 3.9 states/eV/f.u.
ΔE_f: -39.4 meV/atom
raw total energy: -16.08 eV per formula unit

a = 4.5876 Å, b = 4.5876 Å, c = 9.7374 Å
α = 103.63°, β = 103.63°, γ = 90.00°
Closest atoms and distances in Å follow each position.
Fractional positions:
Mg: 0.1284 0.6284 0.2568  10 Mg 3.14-3.29, 2 Dy 3.29
Mg: 0.7547 0.7547 0.5093  12 Mg 3.14-3.26
Mg: 0.8716 0.3716 0.7432  10 Mg 3.14-3.29, 2 Dy 3.29
Mg: 0.3716 0.8716 0.7432  10 Mg 3.14-3.29, 2 Dy 3.29
Mg: 0.5000 0.5000 0.0000  4 Dy 3.24, 8 Mg 3.29
Dy: 0.0000 0.0000 0.0000  12 Mg 3.24-3.29
Mg: 0.6284 0.1284 0.2568  10 Mg 3.14-3.29, 2 Dy 3.29
Mg: 0.2453 0.2453 0.4907  12 Mg 3.14-3.26

A relaxed structure of DyMg3. Source: Alexandria, functional PBE.

Values from the calculation:
DOS at the Fermi energy: 3.8 states/eV/f.u.
ΔE_f: -66.6 meV/atom
raw total energy: -9.65 eV per formula unit

a = 5.1765 Å, b = 6.6851 Å, c = 6.6851 Å
α = 59.99°, β = 90.00°, γ = 90.00°
Closest atoms and distances in Å follow each position.
Fractional positions:
Mg: 0.7500 0.1632 0.6736  8 Mg 3.20-3.41, 4 Dy 3.25-3.34
Dy: 0.2500 0.3333 0.3333  12 Mg 3.25-3.34
Mg: 0.7500 0.6736 0.1632  8 Mg 3.20-3.41, 4 Dy 3.25-3.34
Mg: 0.2500 0.8368 0.8368  8 Mg 3.20-3.41, 4 Dy 3.25-3.34
Mg: 0.2500 0.8368 0.3264  8 Mg 3.20-3.41, 4 Dy 3.25-3.34
Mg: 0.2500 0.3264 0.8368  8 Mg 3.20-3.41, 4 Dy 3.25-3.34
Dy: 0.7500 0.6667 0.6667  12 Mg 3.25-3.34
Mg: 0.7500 0.1632 0.1632  8 Mg 3.20-3.41, 4 Dy 3.25-3.34